Record 1
! ZrTcBr2 (PBE, relaxed); values from VASP
&SYSTEM
  ibrav = 0, nat = 4, ntyp = 3
/
ATOMIC_SPECIES
Br 79.90 Br.upf
Tc 98.00 Tc.upf
Zr 91.22 Zr.upf
CELL_PARAMETERS angstrom
4.5289 0.0000 0.0000
0.0000 4.5289 0.0000
0.0000 0.0000 3.5618
ATOMIC_POSITIONS crystal
Br 0.0000 0.0000 0.0000
Tc 0.5000 0.0000 0.5000
Br 0.5000 0.5000 0.0000
Zr 0.0000 0.5000 0.5000
! Symmetry: No. 123

Record 2
! TeBr3 (PBE, relaxed); values from VASP
&SYSTEM
  ibrav = 0, nat = 8, ntyp = 2
/
ATOMIC_SPECIES
Br 79.90 Br.upf
Te 127.60 Te.upf
CELL_PARAMETERS angstrom
5.7449 -0.0425 0.0108
-1.5823 8.2501 -0.1272
-2.3585 -3.4228 7.6523
ATOMIC_POSITIONS crystal
Br 0.9628 0.8849 0.0339
Br 0.9089 0.3635 0.1722
Br 0.5744 0.3440 0.4838
Te 0.0774 0.3699 0.5108
Br 0.5944 0.7881 0.3131
Te 0.6992 0.0230 0.1985
Br 0.1565 0.2883 0.7752
Br 0.2119 0.7169 0.6889
! Symmetry: No. 1

Record 3
! Te5Br (PBE, relaxed); values from VASP
&SYSTEM
  ibrav = 0, nat = 6, ntyp = 2
/
ATOMIC_SPECIES
Te 127.60 Te.upf
Br 79.90 Br.upf
CELL_PARAMETERS angstrom
-2.7158 -4.5602 4.6484
0.7890 -6.2170 3.2411
4.7357 6.2919 4.3865
ATOMIC_POSITIONS crystal
Te 0.6700 0.6700 0.7566
Te 0.3309 0.3309 0.8595
Te 0.6149 0.6149 0.4160
Te 0.9442 0.9442 0.4424
Te 0.2763 0.2763 0.3799
Br 0.9970 0.9970 0.9789
! Symmetry: No. 8

| no. | E_form (uncorrected) (kcal/mol of atoms) | energy (eV/atom) | ΔE to the lowest computed polymorph (eV per atom) |
| --- | --- | --- | --- |
| 1 | 9.3 | -5.1625 | 0.7555 |
| 2 | -6.0 | -2.3008 | 0.0525 |
| 3 | 0.0 | -2.8960 | 0.0000 |